No. 1
Np4PSe3 | GGA-PBE | relaxed

Computed properties:
The formation energy without anion corrections comes out at -1.030 eV/atom. The magnetization comes out at 33.94 Bohr magnetons per cell. The calculation puts the density of states at the Fermi level at 4.004 states/eV/atom.

a = 7.0525 Å, b = 8.1708 Å, c = 7.0392 Å
α = 90.00°, β = 109.61°, γ = 90.00°
With the nearest neighbours (Å) after each atom.
Element x y z (fractional)
1 Np 0.2379 0.1185 0.0003  2 P 2.81, 4 Se 2.88-2.96
2 Np 0.2379 0.8815 0.5003  2 P 2.81, 4 Se 2.88-2.96
3 Np 0.2446 0.3681 0.4934  1 P 2.80, 5 Se 2.87-2.95
4 Np 0.2446 0.6319 0.9934  1 P 2.80, 5 Se 2.87-2.95
5 Np 0.7554 0.3681 0.0066  1 P 2.80, 5 Se 2.87-2.95
6 Np 0.7554 0.6319 0.5066  1 P 2.80, 5 Se 2.87-2.95
7 Np 0.7621 0.1185 0.4997  2 P 2.81, 4 Se 2.88-2.96
8 Np 0.7621 0.8815 0.9997  2 P 2.81, 4 Se 2.88-2.96
9 P 0.0000 0.1256 0.2500  6 Np 2.80-2.81
10 P 0.0000 0.8744 0.7500  6 Np 2.80-2.81
11 Se 0.0000 0.3754 0.7500  6 Np 2.88-2.89
12 Se 0.0000 0.6246 0.2500  6 Np 2.88-2.89
13 Se 0.5000 0.1250 0.7500  6 Np 2.87-2.95
14 Se 0.5000 0.3755 0.2500  6 Np 2.87-2.96
15 Se 0.5000 0.6245 0.7500  6 Np 2.87-2.96
16 Se 0.5000 0.8750 0.2500  6 Np 2.87-2.95



No. 2
Pm2In12Pd7 | GGA-PBE | relaxed

Computed properties:
The value obtained for the formation enthalpy at 0 K is -10.04 eV/f.u. The magnetization comes out at 0.00 Bohr magnetons per cell. The calculation puts the density of states at the Fermi level at 0.396 states/eV/atom.

a = 11.3514 Å, b = 11.3514 Å, c = 4.0776 Å
α = 90.00°, β = 90.00°, γ = 120.00°
With the nearest neighbours (Å) after each atom.
Element x y z (fractional)
1 Pm 0.0000 0.0000 0.0000  6 Pd 3.29, 6 In 3.55
2 Pm 0.3333 0.6667 0.5000  6 Pd 3.39, 6 In 3.47
3 In 0.0474 0.7706 0.5000  4 Pd 2.70-2.84
4 In 0.1167 0.3967 0.0000  4 Pd 2.72-2.84
5 In 0.2294 0.2768 0.5000  4 Pd 2.70-2.84
6 In 0.2800 0.8833 0.0000  4 Pd 2.72-2.84
7 In 0.3875 0.2121 0.0000  4 Pd 2.75-2.82, 2 In 3.04
8 In 0.5318 0.1088 0.5000  5 Pd 2.92-3.02, 2 In 3.18
9 In 0.5770 0.4682 0.5000  5 Pd 2.92-3.02, 2 In 3.18
10 In 0.6033 0.7200 0.0000  4 Pd 2.72-2.84
11 In 0.7232 0.9526 0.5000  4 Pd 2.70-2.84
12 In 0.7879 0.1754 0.0000  4 Pd 2.75-2.82, 2 In 3.04
13 In 0.8246 0.6125 0.0000  4 Pd 2.75-2.82, 2 In 3.04
14 In 0.8912 0.4230 0.5000  5 Pd 2.92-3.02, 2 In 3.18
15 Pd 0.0713 0.6100 0.0000  7 In 2.72-2.92
16 Pd 0.2432 0.0358 0.5000  7 In 2.70-2.95
17 Pd 0.3900 0.4614 0.0000  7 In 2.72-2.92
18 Pd 0.5386 0.9287 0.0000  7 In 2.72-2.92
19 Pd 0.6667 0.3333 0.0000  9 In 2.75-3.02
20 Pd 0.7926 0.7568 0.5000  7 In 2.70-2.95
21 Pd 0.9642 0.2074 0.5000  7 In 2.70-2.95